#1
12
Lattice="3.811 0.000 0.000 -1.905 3.300 0.000 0.000 0.000 22.080" Properties=species:S:1:pos:R:3 comment="Pu2UPa (PBE, relaxed)" magnetic_moment_mub_per_fu=0.004 space_group="R-3m (166)" pbc="T T T"
Pu 0.000 0.000 2.486
Pu 0.000 0.000 19.595
Pu 0.000 2.200 12.235
Pu 0.000 2.200 17.206
Pu 1.905 1.100 4.875
Pu 1.905 1.100 9.846
U 0.000 0.000 11.040
U 0.000 2.200 3.680
U 1.905 1.100 18.400
Pa 0.000 0.000 0.000
Pa 0.000 2.200 14.720
Pa 1.905 1.100 7.360


#2
4
Lattice="3.749 0.000 0.000 0.000 3.749 0.000 0.000 0.000 6.190" Properties=species:S:1:pos:R:3 comment="Pu2UPa (PBE, relaxed)" magnetic_moment_mub_per_fu=8.849 space_group="P4/mmm (123)" pbc="T T T"
Pu 0.000 0.000 1.510
Pu 0.000 0.000 4.680
U 1.874 1.874 0.000
Pa 1.874 1.874 3.095


Name the most stable of them. #2.


#1
4
Lattice="3.324 0.000 0.000 0.000 3.324 0.000 0.000 0.000 7.653" Properties=species:S:1:pos:R:3 comment="PuU2Pa (PBE, relaxed)" magnetic_moment_mub_per_fu=2.513 space_group="P4/mmm (123)" pbc="T T T"
Pu 0.000 0.000 0.000
U 1.662 1.662 1.647
U 1.662 1.662 6.006
Pa 0.000 0.000 3.826


#2
4
Lattice="5.297 0.000 0.000 0.000 5.297 0.000 0.000 0.000 3.070" Properties=species:S:1:pos:R:3 comment="PuU2Pa (PBE, relaxed)" magnetic_moment_mub_per_fu=2.789 space_group="P4/mmm (123)" pbc="T T T"
Pu 0.000 0.000 0.000
U 0.000 2.648 1.535
U 2.648 0.000 1.535
Pa 2.648 2.648 0.000


Name the most stable of them. #2.


#1
6
Lattice="3.187 0.000 0.000 0.154 5.481 0.000 0.503 0.557 6.959" Properties=species:S:1:pos:R:3 comment="PuPaV (PBE, relaxed)" magnetic_moment_mub_per_fu=3.953 space_group="P-1 (2)" pbc="T T T"
Pu 0.781 1.089 2.321
Pu 3.062 4.949 4.638
Pa 0.945 4.047 0.088
Pa 2.899 1.991 6.871
V 1.283 2.262 4.372
V 2.560 3.776 2.587


#2
3
Lattice="4.821 0.000 0.000 -2.410 4.175 0.000 0.000 0.000 2.895" Properties=species:S:1:pos:R:3 comment="PuPaV (PBE, relaxed)" magnetic_moment_mub_per_fu=3.259 space_group="P-6m2 (187)" pbc="T T T"
Pu 0.000 0.000 0.000
Pa 0.000 2.783 0.000
V 2.410 1.392 1.447


#3
6
Lattice="3.516 0.000 0.000 0.000 3.516 0.000 0.000 0.000 9.771" Properties=species:S:1:pos:R:3 comment="PuPaV (PBE, relaxed)" magnetic_moment_mub_per_fu=3.330 space_group="I4mm (107)" pbc="T T T"
Pu 0.000 0.000 0.000
Pu 1.758 1.758 4.885
Pa 0.000 0.000 6.508
Pa 1.758 1.758 1.623
V 0.000 0.000 3.259
V 1.758 1.758 8.144


Name the most stable of them. #3.


#1
4
Lattice="3.353 0.000 0.000 0.000 3.353 0.000 0.000 0.000 9.346" Properties=species:S:1:pos:R:3 comment="YPu2Pa (PBE, relaxed)" magnetic_moment_mub_per_fu=10.878 space_group="P4/mmm (123)" pbc="T T T"
Y 0.000 0.000 0.000
Pu 1.676 1.676 2.598
Pu 1.676 1.676 6.748
Pa 0.000 0.000 4.673


#2
4
Lattice="4.818 0.000 0.000 0.000 4.818 0.000 0.000 0.000 4.559" Properties=species:S:1:pos:R:3 comment="YPu2Pa (PBE, relaxed)" magnetic_moment_mub_per_fu=11.549 space_group="P4/mmm (123)" pbc="T T T"
Y 0.000 0.000 0.000
Pu 0.000 2.409 2.279
Pu 2.409 0.000 2.279
Pa 2.409 2.409 0.000


Name the most stable of them. #1.


#1
16
Lattice="7.583 0.000 0.000 0.000 7.583 0.000 0.000 0.000 7.583" Properties=species:S:1:pos:R:3 comment="YPu2Pa (PBE, relaxed)" magnetic_moment_mub_per_fu=14.176 space_group="Fm-3m (225)" pbc="T T T"
Y 0.000 0.000 0.000
Y 0.000 3.791 3.791
Y 3.791 0.000 3.791
Y 3.791 3.791 0.000
Pu 1.896 1.896 1.896
Pu 1.896 1.896 5.687
Pu 1.896 5.687 1.896
Pu 1.896 5.687 5.687
Pu 5.687 1.896 1.896
Pu 5.687 1.896 5.687
Pu 5.687 5.687 1.896
Pu 5.687 5.687 5.687
Pa 0.000 0.000 3.791
Pa 0.000 3.791 0.000
Pa 3.791 0.000 0.000
Pa 3.791 3.791 3.791


#2
12
Lattice="3.921 0.000 0.000 -1.960 3.395 0.000 0.000 0.000 27.059" Properties=species:S:1:pos:R:3 comment="YPu2Pa (PBE, relaxed)" magnetic_moment_mub_per_fu=11.474 space_group="R-3m (166)" pbc="T T T"
Y 0.000 0.000 0.000
Y 0.000 2.264 18.040
Y 1.960 1.132 9.020
Pu 0.000 0.000 3.063
Pu 0.000 0.000 23.997
Pu 0.000 2.264 14.977
Pu 0.000 2.264 21.102
Pu 1.960 1.132 5.957
Pu 1.960 1.132 12.082
Pa 0.000 0.000 13.530
Pa 0.000 2.264 4.510
Pa 1.960 1.132 22.549


Name the most stable of them. #1.


#1
6
Lattice="3.636 0.000 0.000 -1.814 5.943 0.000 -0.007 -2.375 5.976" Properties=species:S:1:pos:R:3 comment="PuPaZn (PBE, relaxed)" magnetic_moment_mub_per_fu=5.006 space_group="P-1 (2)" pbc="T T T"
Pu -0.003 1.502 0.504
Pu 1.818 2.066 5.472
Pa 0.000 0.709 4.040
Pa 1.815 2.859 1.936
Zn -0.001 4.063 4.138
Zn 1.817 -0.495 1.838


#2
3
Lattice="4.957 0.000 0.000 -2.478 4.293 0.000 0.000 0.000 2.865" Properties=species:S:1:pos:R:3 comment="PuPaZn (PBE, relaxed)" magnetic_moment_mub_per_fu=4.338 space_group="P-6m2 (187)" pbc="T T T"
Pu 0.000 0.000 0.000
Pa 0.000 2.862 0.000
Zn 2.478 1.431 1.432


#3
6
Lattice="3.732 0.000 0.000 0.000 3.732 0.000 0.000 0.000 9.435" Properties=species:S:1:pos:R:3 comment="PuPaZn (PBE, relaxed)" magnetic_moment_mub_per_fu=6.800 space_group="I4mm (107)" pbc="T T T"
Pu 0.000 0.000 0.000
Pu 1.866 1.866 4.718
Pa 0.000 0.000 3.175
Pa 1.866 1.866 7.893
Zn 0.000 0.000 6.303
Zn 1.866 1.866 1.585


Name the most stable of them. #3.


#1
3
Lattice="5.087 0.000 0.000 -2.543 4.405 0.000 0.000 0.000 3.175" Properties=species:S:1:pos:R:3 comment="PuZrPa (PBE, relaxed)" magnetic_moment_mub_per_fu=5.058 space_group="P-6m2 (187)" pbc="T T T"
Pu 0.000 0.000 0.000
Zr 0.000 2.937 1.587
Pa 2.543 1.468 0.000


#2
6
Lattice="3.434 0.000 0.000 0.000 3.434 0.000 0.000 0.000 12.180" Properties=species:S:1:pos:R:3 comment="PuZrPa (PBE, relaxed)" magnetic_moment_mub_per_fu=6.005 space_group="I4mm (107)" pbc="T T T"
Pu 0.000 0.000 0.000
Pu 1.717 1.717 6.090
Zr 0.000 0.000 8.311
Zr 1.717 1.717 2.221
Pa 0.000 0.000 4.322
Pa 1.717 1.717 10.412


Name the most stable of them. #1.


#1
12
Lattice="10.974 0.000 0.000 0.000 3.265 0.000 -2.912 0.000 7.941" Properties=species:S:1:pos:R:3 comment="PuZrPa (PBE, relaxed)" magnetic_moment_mub_per_fu=4.992 space_group="C2/m (12)" pbc="T T T"
Pu -0.663 0.000 2.251
Pu 3.238 1.633 5.691
Pu 4.824 1.633 2.251
Pu 8.725 0.000 5.691
Zr 1.506 1.633 0.431
Zr 1.068 0.000 7.510
Zr 6.993 0.000 0.431
Zr 6.555 1.633 7.510
Pa 0.071 1.633 4.857
Pa 2.504 0.000 3.084
Pa 5.558 0.000 4.857
Pa 7.991 1.633 3.084


#2
6
Lattice="2.544 1.469 7.379 -2.544 1.469 7.379 0.000 -2.937 7.379" Properties=species:S:1:pos:R:3 comment="PuZrPa (PBE, relaxed)" magnetic_moment_mub_per_fu=5.853 space_group="R-3m (166)" pbc="T T T"
Pu 0.000 0.000 4.616
Pu 0.000 0.000 17.521
Zr 0.000 0.000 1.430
Zr 0.000 0.000 20.708
Pa 0.000 0.000 7.546
Pa 0.000 0.000 14.592


Name the most stable of them. #1.


#1
12
Lattice="10.423 0.000 0.000 0.000 10.436 0.000 0.000 0.000 3.037" Properties=species:S:1:pos:R:3 comment="PuZr4Pa (PBE, relaxed)" magnetic_moment_mub_per_fu=4.548 space_group="Cmmm (65)" pbc="T T T"
Pu 0.000 0.000 0.000
Pu 5.211 5.218 0.000
Zr 0.000 2.388 1.519
Zr 0.000 8.048 1.519
Zr 2.458 5.218 0.000
Zr 2.753 0.000 0.000
Zr 5.211 2.830 1.519
Zr 5.211 7.606 1.519
Zr 7.669 0.000 0.000
Zr 7.965 5.218 0.000
Pa 0.000 5.218 1.519
Pa 5.211 0.000 1.519


#2
12
Lattice="5.719 0.000 0.000 0.000 9.494 0.000 -2.309 0.000 5.244" Properties=species:S:1:pos:R:3 comment="PuZr4Pa (PBE, relaxed)" magnetic_moment_mub_per_fu=5.194 space_group="C2/m (12)" pbc="T T T"
Pu 0.000 0.000 0.000
Pu 2.860 4.747 0.000
Zr -1.154 1.606 2.622
Zr 0.000 3.145 0.000
Zr 0.000 6.349 0.000
Zr -1.154 7.888 2.622
Zr 2.860 1.602 0.000
Zr 1.705 3.141 2.622
Zr 1.705 6.353 2.622
Zr 2.860 7.892 0.000
Pa -1.154 4.747 2.622
Pa 1.705 0.000 2.622


Name the most stable of them. #2.


#1
14
Lattice="8.143 0.000 0.000 0.000 13.723 0.000 0.000 0.000 4.242" Properties=species:S:1:pos:R:3 comment="Rb2PaS4 (PBE, relaxed)" magnetic_moment_mub_per_fu=1.020 space_group="Pbam (55)" pbc="T T T"
Rb 0.508 2.455 0.000
Rb 3.563 9.316 0.000
Rb 4.580 4.406 0.000
Rb 7.635 11.268 0.000
Pa 0.000 6.861 2.121
Pa 4.072 0.000 2.121
S 1.008 9.194 2.121
S 1.592 6.224 0.000
S 2.480 13.085 0.000
S 3.064 2.333 2.121
S 5.080 11.390 2.121
S 5.664 0.637 0.000
S 6.551 7.498 0.000
S 7.135 4.528 2.121


#2
14
Lattice="-4.422 4.422 4.787 4.422 -4.422 4.787 4.422 4.422 -4.787" Properties=species:S:1:pos:R:3 comment="Rb2PaS4 (PBE, relaxed)" magnetic_moment_mub_per_fu=0.681 space_group="I-42d (122)" pbc="T T T"
Rb 0.802 2.211 1.197
Rb -2.211 3.620 3.590
Rb -0.802 6.633 1.197
Rb 2.211 5.224 3.590
Pa 4.422 0.000 2.393
Pa 0.000 0.000 4.787
S 1.781 -0.508 2.285
S 3.914 1.781 -0.108
S 2.641 4.930 -2.501
S 2.641 -0.508 4.895
S 3.914 2.641 2.501
S 1.781 4.930 0.108
S 0.508 2.641 4.679
S 0.508 1.781 7.288


Name the most stable of them. #1.


#1
12
Lattice="9.628 0.000 0.000 0.000 4.250 0.000 0.000 0.000 10.123" Properties=species:S:1:pos:R:3 comment="RbPaSb (PBE, relaxed)" magnetic_moment_mub_per_fu=0.783 space_group="Pnma (62)" pbc="T T T"
Rb 0.341 1.062 1.387
Rb 4.472 3.187 6.448
Rb 5.155 1.062 3.674
Rb 9.286 3.187 8.736
Pa 0.737 1.062 5.504
Pa 4.077 3.187 0.443
Pa 5.551 1.062 9.680
Pa 8.891 3.187 4.619
Sb 2.203 3.187 3.510
Sb 2.611 1.062 8.571
Sb 7.017 3.187 1.552
Sb 7.425 1.062 6.613


#2
6
Lattice="4.030 0.000 0.000 0.000 4.030 0.000 0.000 0.000 15.261" Properties=species:S:1:pos:R:3 comment="RbPaSb (PBE, relaxed)" magnetic_moment_mub_per_fu=2.017 space_group="I4mm (107)" pbc="T T T"
Rb 0.000 0.000 0.000
Rb 2.015 2.015 7.630
Pa 0.000 0.000 3.984
Pa 2.015 2.015 11.615
Sb 0.000 0.000 10.432
Sb 2.015 2.015 2.802


Name the most stable of them. #1.


#1
13
Lattice="0.000 6.151 6.151 6.151 0.000 6.151 6.151 6.151 0.000" Properties=species:S:1:pos:R:3 comment="RbPa4Se8 (PBE, relaxed)" magnetic_moment_mub_per_fu=5.013 space_group="F-43m (216)" pbc="T T T"
Rb 0.000 0.000 0.000
Pa 4.644 4.644 4.644
Pa 7.658 7.658 4.644
Pa 7.658 4.644 7.658
Pa 4.644 7.658 7.658
Se 1.787 1.787 1.787
Se 4.364 4.364 1.787
Se 4.364 1.787 4.364
Se 7.522 4.780 4.780
Se 1.787 4.364 4.364
Se 4.780 7.522 4.780
Se 4.780 4.780 7.522
Se 7.522 7.522 7.522


#2
26
Lattice="7.881 0.000 0.000 -3.940 6.825 0.000 0.000 0.000 18.166" Properties=species:S:1:pos:R:3 comment="RbPa4Se8 (PBE, relaxed)" magnetic_moment_mub_per_fu=5.019 space_group="P6_3/mmc (194)" pbc="T T T"
Rb 0.000 0.000 0.000
Rb 0.000 0.000 9.083
Pa 0.000 0.000 4.542
Pa 0.000 0.000 13.625
Pa -1.955 3.421 4.542
Pa 1.955 3.421 4.542
Pa 0.000 6.808 4.542
Pa 3.940 0.017 13.625
Pa 1.985 3.404 13.625
Pa 5.896 3.404 13.625
Se 0.000 2.277 11.864
Se 0.000 2.277 15.385
Se -1.968 5.686 11.864
Se -1.968 5.686 15.385
Se 0.000 4.550 2.773
Se 0.000 4.550 6.310
Se 1.972 1.139 2.781
Se 1.972 1.139 6.302
Se 1.968 5.686 11.864
Se 1.968 5.686 15.385
Se 3.940 2.275 11.856
Se 3.940 2.275 15.393
Se 5.908 1.139 2.781
Se 5.908 1.139 6.302
Se 3.940 4.547 2.781
Se 3.940 4.547 6.302


Name the most stable of them. #2.